This record from Alexandria via LeMat-Bulk describes BaMg2Pb2 after structural relaxation. The functional is GGA-PBE.

Cell lengths 5.004, 5.004, 12.444 Å; angles 90.00, 90.00, 90.00 degrees
Positions (direct):
1 Ba 0.250 0.250 0.249
2 Ba 0.750 0.750 0.751
3 Mg 0.250 0.250 0.635
4 Mg 0.250 0.750 0.000
5 Mg 0.750 0.250 0.000
6 Mg 0.750 0.750 0.365
7 Pb 0.250 0.250 0.866
8 Pb 0.250 0.750 0.500
9 Pb 0.750 0.250 0.500
10 Pb 0.750 0.750 0.134

Values from the calculation:
As for the formation energy: -0.382 eV per atom. The energy above the lowest structure with this stoichiometry comes out at 0 meV/atom.



This record from Alexandria via LeMat-Bulk describes Ba2MgPd4Pb3 after structural relaxation. The functional is GGA-PBE.

Cell lengths 4.850, 4.850, 11.144 Å; angles 90.00, 90.00, 90.00 degrees
Positions (direct):
1 Ba 0.000 0.500 0.243
2 Ba 0.500 0.000 0.757
3 Mg 0.000 0.000 0.500
4 Pd 0.000 0.000 0.000
5 Pd 0.000 0.500 0.625
6 Pd 0.500 0.000 0.375
7 Pd 0.500 0.500 0.000
8 Pb 0.000 0.500 0.879
9 Pb 0.500 0.000 0.121
10 Pb 0.500 0.500 0.500

Values from the calculation:
As for the formation energy: -0.523 eV per atom.



This record from Alexandria via LeMat-Bulk describes Ba2MgPdPb after structural relaxation. The functional is GGA-PBE.

Cell lengths 6.124, 6.124, 5.082 Å; angles 90.00, 90.00, 90.00 degrees
Positions (direct):
1 Ba 0.000 0.500 0.000
2 Ba 0.500 0.000 0.000
3 Mg 0.000 0.000 0.500
4 Pd 0.000 0.000 0.000
5 Pb 0.500 0.500 0.500

Values from the calculation:
As for the formation energy: -0.357 eV per atom.



This record from Alexandria via LeMat-Bulk describes BaPmMgPb after structural relaxation. The functional is GGA-PBE.

Cell lengths 5.761, 5.761, 5.761 Å; angles 60.00, 60.00, 60.00 degrees
Positions (direct):
1 Ba 0.000 0.000 0.000
2 Pm 0.500 0.500 0.500
3 Mg 0.750 0.750 0.750
4 Pb 0.250 0.250 0.250

Values from the calculation:
As for the formation energy: -0.239 eV per atom.



This record from Alexandria via LeMat-Bulk describes BaPrMgPb after structural relaxation. The functional is GGA-PBE.

Cell lengths 5.795, 5.795, 5.795 Å; angles 60.00, 60.00, 60.00 degrees
Positions (direct):
1 Ba 0.000 0.000 0.000
2 Pr 0.500 0.500 0.500
3 Mg 0.750 0.750 0.750
4 Pb 0.250 0.250 0.250

Values from the calculation:
As for the formation energy: -0.257 eV per atom.



This record from Alexandria via LeMat-Bulk describes Ba2MgPtPb after structural relaxation. The functional is GGA-PBE.

Cell lengths 6.110, 6.110, 5.106 Å; angles 90.00, 90.00, 90.00 degrees
Positions (direct):
1 Ba 0.000 0.500 0.000
2 Ba 0.500 0.000 0.000
3 Mg 0.000 0.000 0.500
4 Pt 0.000 0.000 0.000
5 Pb 0.500 0.500 0.500

Values from the calculation:
As for the formation energy: -0.473 eV per atom.